(1)
Here is a geometry-optimized LaPRh2 structure from Alexandria. Energies are from GGA-PBE.

Output
final energy: -6.996 eV/atom

a = 3.620 Å, b = 4.355 Å, c = 5.471 Å
α = 90.00°, β = 90.00°, γ = 90.00°
Atoms (fractional coordinates):
La  0.500  0.000  0.000
P  0.500  0.500  0.500
Rh  0.000  0.500  0.750
Rh  0.000  0.500  0.250

---

(2)
Here is a geometry-optimized LaPRh3 structure from Alexandria. Energies are from GGA-PBE.

Output
final energy: -7.386 eV/atom

a = 4.112 Å, b = 4.112 Å, c = 5.965 Å
α = 69.84°, β = 69.84°, γ = 89.99°
Atoms (fractional coordinates):
La  0.387  0.191  0.930
P  0.032  0.836  0.641
Rh  0.636  0.939  0.434
Rh  0.136  0.439  0.434
Rh  0.816  0.620  0.072

---

(3)
Here is a geometry-optimized La3P4Rh13 structure from Alexandria. Energies are from GGA-PBE.

Output
final energy: -7.289 eV/atom

a = 8.834 Å, b = 8.834 Å, c = 8.834 Å
α = 90.00°, β = 90.00°, γ = 90.00°
Atoms (fractional coordinates):
La  0.250  0.500  0.000
La  0.750  0.500  0.000
La  0.000  0.250  0.500
La  0.000  0.750  0.500
La  0.500  0.000  0.250
La  0.500  0.000  0.750
P  0.250  0.250  0.250
P  0.750  0.750  0.250
P  0.750  0.250  0.750
P  0.250  0.750  0.750
P  0.750  0.750  0.750
P  0.250  0.250  0.750
P  0.250  0.750  0.250
P  0.750  0.250  0.250
Rh  0.000  0.000  0.000
Rh  0.500  0.500  0.500
Rh  0.000  0.264  0.158
Rh  0.000  0.736  0.158
Rh  0.000  0.264  0.842
Rh  0.000  0.736  0.842
Rh  0.158  0.000  0.264
Rh  0.158  0.000  0.736
Rh  0.842  0.000  0.264
Rh  0.842  0.000  0.736
Rh  0.264  0.158  0.000
Rh  0.736  0.158  0.000
Rh  0.264  0.842  0.000
Rh  0.736  0.842  0.000
Rh  0.764  0.500  0.342
Rh  0.236  0.500  0.342
Rh  0.764  0.500  0.658
Rh  0.236  0.500  0.658
Rh  0.500  0.658  0.236
Rh  0.500  0.658  0.764
Rh  0.500  0.342  0.236
Rh  0.500  0.342  0.764
Rh  0.658  0.764  0.500
Rh  0.658  0.236  0.500
Rh  0.342  0.764  0.500
Rh  0.342  0.236  0.500

---

(4)
Here is a geometry-optimized La2P2Rh3 structure from Alexandria. Energies are from GGA-PBE.

Output
final energy: -7.099 eV/atom

a = 3.875 Å, b = 5.662 Å, c = 6.973 Å
α = 111.09°, β = 90.00°, γ = 110.01°
Atoms (fractional coordinates):
La  0.870  0.741  0.224
La  0.130  0.259  0.776
P  0.846  0.692  0.767
P  0.154  0.308  0.233
Rh  0.500  0.000  0.000
Rh  0.646  0.293  0.423
Rh  0.354  0.707  0.577

---

(5)
Here is a geometry-optimized LaP3Rh structure from Alexandria. Energies are from GGA-PBE.

Output
final energy: -4.208 eV/atom

a = 5.262 Å, b = 5.262 Å, c = 5.262 Å
α = 90.00°, β = 90.00°, γ = 90.00°
Atoms (fractional coordinates):
P  0.000  0.500  0.000
P  0.000  0.000  0.500
P  0.500  0.000  0.000
Rh  0.500  0.500  0.500
La  0.000  0.000  0.000

---

(6)
Here is a geometry-optimized LaP2Rh structure from Alexandria. Energies are from GGA-PBE.

Output
final energy: -6.872 eV/atom

a = 3.953 Å, b = 3.953 Å, c = 5.992 Å
α = 70.75°, β = 70.75°, γ = 60.01°
Atoms (fractional coordinates):
P  0.974  0.974  0.078
P  0.526  0.526  0.422
Rh  0.250  0.250  0.250
La  0.750  0.750  0.750

---

(7)
Here is a geometry-optimized La5PRh structure from Alexandria. Energies are from GGA-PBE.

Output
final energy: -5.755 eV/atom

a = 4.813 Å, b = 4.813 Å, c = 8.664 Å
α = 90.00°, β = 90.00°, γ = 90.00°
Atoms (fractional coordinates):
La  0.500  0.500  0.000
La  0.000  0.500  0.286
La  0.500  0.000  0.286
La  0.000  0.500  0.714
La  0.500  0.000  0.714
P  0.000  0.000  0.000
Rh  0.000  0.000  0.500

---

(8)
Here is a geometry-optimized LaPRh2 structure from Alexandria. Energies are from GGA-PBE.

Output
final energy: -7.300 eV/atom

a = 4.076 Å, b = 4.039 Å, c = 9.270 Å
α = 102.58°, β = 90.00°, γ = 90.00°
Atoms (fractional coordinates):
La  0.000  0.856  0.711
La  0.000  0.144  0.289
P  0.500  0.577  0.153
P  0.500  0.423  0.847
Rh  0.000  0.500  0.000
Rh  0.500  0.000  0.000
Rh  0.500  0.704  0.408
Rh  0.500  0.296  0.592